[1]
Below is crystalline AuBr2Cl at its relaxed geometry, with properties calculated at the PBE level.

Calculated values
M_tot	0.00	Bohr magnetons per cell
space-group type	No. 6
ΔE_f (raw)	-0.04	eV/atom
relative energy among the computed polymorphs	0.55	eV/f.u.

```
AuBr2Cl
1.0
3.7046 0.0000 0.0000
0.0000 5.7755 0.3501
0.0000 0.5740 5.8406
Br Au Cl
2 1 1
direct
0.0000 0.9542 0.9560
0.5000 0.2117 0.2038
0.5000 0.7559 0.7606
0.0000 0.5783 0.5795
```

[2]
Below is crystalline CsFe3Se at its relaxed geometry, with properties calculated at the PBE level.

Calculated values
M_tot	7.43	Bohr magnetons per cell
space-group type	No. 221
ΔE_f (raw)	2.38	eV/atom
relative energy among the computed polymorphs	7.17	eV/f.u.

```
CsFe3Se
1.0
-2.7654 -3.4969 1.9271
3.3906 -0.8187 3.3798
-2.1086 3.2697 2.9073
Cs Fe Se
1 3 1
direct
0.0000 0.0000 0.0000
0.5000 0.0000 0.0000
0.0000 0.0000 0.5000
0.0000 0.5000 0.0000
0.5000 0.5000 0.5000
```

[3]
Below is crystalline SrPdSe2N at its relaxed geometry, with properties calculated at the PBE level.

Calculated values
M_tot	0.68	Bohr magnetons per cell
space-group type	No. 123
ΔE_f (raw)	-0.21	eV/atom
relative energy among the computed polymorphs	0.00	eV/f.u.

```
SrPdSe2N
1.0
5.3254 0.0000 0.0000
0.0000 5.3254 0.0000
0.0000 0.0000 3.8156
Se N Pd Sr
2 1 1 1
direct
0.0000 0.5000 0.0000
0.5000 0.0000 0.0000
0.0000 0.0000 0.5000
0.0000 0.0000 0.0000
0.5000 0.5000 0.5000
```

[4]
Below is crystalline NaPm4Pr3Se8 at its relaxed geometry, with properties calculated at the PBE level.

Calculated values
M_tot	0.00	Bohr magnetons per cell
space-group type	No. 166
ΔE_f (raw)	-1.80	eV/atom

```
NaPm4Pr3Se8
1.0
8.4524 0.0000 0.0000
0.0000 8.4571 -0.0024
-4.2262 -4.2223 5.9796
Se Pr Pm Na
8 3 4 1
direct
0.7551 0.7526 0.0039
0.2449 0.2474 0.9961
0.7520 0.7559 0.5039
0.7512 0.2474 0.5025
0.2488 0.7526 0.4975
0.2480 0.2441 0.4961
0.7513 0.2474 0.9961
0.2487 0.7526 0.0039
0.5000 0.5000 0.0000
0.5000 0.5000 0.5000
0.0000 0.5000 0.5000
0.5000 0.0000 0.5000
0.5000 0.0000 0.0000
0.0000 0.0000 0.0000
0.0000 0.0000 0.5000
0.0000 0.5000 0.0000
```

[5]
Below is crystalline Na2TePt at its relaxed geometry, with properties calculated at the PBE level.

Calculated values
M_tot	0.00	Bohr magnetons per cell
space-group type	No. 122
ΔE_f (raw)	-0.35	eV/atom

```
Na2TePt
1.0
-1.2757 -3.3386 10.5910
6.0770 -9.1327 -2.1469
4.5025 -4.9889 4.8683
Te Pt Na
2 2 4
direct
0.5000 0.5000 0.0000
0.2500 0.7500 0.5000
0.0000 0.0000 0.0000
0.7500 0.2500 0.5000
0.8750 0.1131 0.7500
0.8631 0.1250 0.2500
0.8869 0.6250 0.2500
0.3750 0.1369 0.7500
```

[6]
Below is crystalline BaP2Pd8 at its relaxed geometry, with properties calculated at the PBE level.

Calculated values
M_tot	0.00	Bohr magnetons per cell
formation energy	-0.261	eV per atom
space-group type	No. 139

```
BaP2Pd8
1.0
-0.4799 -2.0984 -5.0467
-2.2026 -4.5623 2.1064
-6.1381 6.6351 0.8072
Pd P Ba
8 2 1
direct
0.9153 0.4117 0.3270
0.4118 0.9153 0.3270
0.0847 0.0847 0.6730
0.0847 0.5883 0.6730
0.9153 0.9153 0.3270
0.5883 0.5883 0.6730
0.4117 0.4118 0.3270
0.5883 0.0847 0.6730
0.2500 0.7500 0.5000
0.7500 0.2500 0.5000
0.5000 0.5000 0.0000
```

Among the records above, which one has the highest M_tot? CsFe3Se